DFT (PBE) results for an optimized crystal structure of CeSc4Tl7.

Results
Symmetry ... C2/m
Energy ... -3.968 eV per atom
Formation energy from the elements ... 0.0178 eV/atom
ρ ... 8.62 g/cm³

abc: 7.202 7.202 10.981
angles: 122.03 122.03 46.51
Fractional coordinates of all 12 atoms:
Ce 0.000 0.000 0.000
Sc 0.297 0.297 0.670
Sc 0.416 0.416 0.209
Sc 0.584 0.584 0.791
Sc 0.703 0.703 0.330
Tl 0.080 0.080 0.341
Tl 0.211 0.211 0.876
Tl 0.359 0.359 0.435
Tl 0.500 0.500 0.000
Tl 0.641 0.641 0.565
Tl 0.789 0.789 0.124
Tl 0.920 0.920 0.659



DFT (PBE) results for an optimized crystal structure of Ce5ScTl2.

Results
Symmetry ... Pbam
Energy ... -5.239 eV per atom
Formation energy from the elements ... -0.1476 eV/atom
ρ ... 8.98 g/cm³

abc: 6.872 13.781 4.510
angles: 90.00 90.00 90.00
Fractional coordinates of all 16 atoms:
Ce 0.000 0.000 0.000
Ce 0.076 0.266 0.000
Ce 0.236 0.862 0.500
Ce 0.264 0.362 0.500
Ce 0.424 0.766 0.000
Ce 0.500 0.500 0.000
Ce 0.576 0.234 0.000
Ce 0.736 0.638 0.500
Ce 0.764 0.138 0.500
Ce 0.924 0.734 0.000
Sc 0.000 0.500 0.000
Sc 0.500 0.000 0.000
Tl 0.223 0.614 0.500
Tl 0.277 0.114 0.500
Tl 0.723 0.886 0.500
Tl 0.777 0.386 0.500



DFT (PBE) results for an optimized crystal structure of CeTmScTl.

Results
Symmetry ... F-43m
Energy ... -4.751 eV per atom
Formation energy from the elements ... 0.0247 eV/atom
ρ ... 9.08 g/cm³

abc: 7.420 7.420 7.420
angles: 90.00 90.00 90.00
Fractional coordinates of all 16 atoms:
Ce 0.000 0.000 0.000
Ce 0.000 0.500 0.500
Ce 0.500 0.000 0.500
Ce 0.500 0.500 0.000
Tm 0.250 0.250 0.250
Tm 0.250 0.750 0.750
Tm 0.750 0.250 0.750
Tm 0.750 0.750 0.250
Sc 0.250 0.250 0.750
Sc 0.250 0.750 0.250
Sc 0.750 0.250 0.250
Sc 0.750 0.750 0.750
Tl 0.000 0.000 0.500
Tl 0.000 0.500 0.000
Tl 0.500 0.000 0.000
Tl 0.500 0.500 0.500



DFT (PBE) results for an optimized crystal structure of CeTm2ScTl4.

Results
Symmetry ... R-3m
Energy ... -4.087 eV per atom
Formation energy from the elements ... -0.2529 eV/atom
ρ ... 10.42 g/cm³

abc: 9.303 9.303 9.303
angles: 33.09 33.09 33.09
Fractional coordinates of all 8 atoms:
Ce 0.000 0.000 0.000
Tm 0.248 0.248 0.248
Tm 0.752 0.752 0.752
Sc 0.500 0.500 0.500
Tl 0.128 0.128 0.128
Tl 0.379 0.379 0.379
Tl 0.621 0.621 0.621
Tl 0.872 0.872 0.872



DFT (PBE) results for an optimized crystal structure of Ce2TmScTl4.

Results
Symmetry ... R-3m
Energy ... -4.264 eV per atom
Formation energy from the elements ... -0.2473 eV/atom
ρ ... 9.94 g/cm³

abc: 9.321 9.321 9.321
angles: 33.45 33.45 33.45
Fractional coordinates of all 8 atoms:
Ce 0.248 0.248 0.248
Ce 0.752 0.752 0.752
Tm 0.000 0.000 0.000
Sc 0.500 0.500 0.500
Tl 0.126 0.126 0.126
Tl 0.376 0.376 0.376
Tl 0.624 0.624 0.624
Tl 0.874 0.874 0.874



DFT (PBE) results for an optimized crystal structure of CeYSc2Tl4.

Results
Symmetry ... R-3m
Energy ... -4.584 eV per atom
Formation energy from the elements ... -0.2681 eV/atom
ρ ... 9.02 g/cm³

abc: 9.196 9.196 9.196
angles: 33.33 33.33 33.33
Fractional coordinates of all 8 atoms:
Ce 0.000 0.000 0.000
Y 0.500 0.500 0.500
Sc 0.250 0.250 0.250
Sc 0.750 0.750 0.750
Tl 0.126 0.126 0.126
Tl 0.377 0.377 0.377
Tl 0.623 0.623 0.623
Tl 0.874 0.874 0.874



> Look up the formation energy from the elements of the fourth one.

-0.2529 eV/atom